1.
LaPrSiRh | Alexandria | PBE | relaxed; calculated total energy = -25.5 eV for the cell shown; formation energy without anion corrections = -2.99 eV/f.u.
1.0
-2.622 2.662 2.246
-2.116 -3.261 1.395
4.677 -1.665 3.202
La Pr Si Rh
1 1 1 1
Cartesian
0.067 -0.542 4.951
0.960 -0.095 1.234
-1.925 -0.344 2.390
2.892 -0.287 3.716


2.
YTmGeRh | Alexandria | PBE | relaxed; energy of formation from the pure elements = -753 meV per atom; ΔE to the lowest computed polymorph = 118 meV/atom; calculated total energy = -25.9 eV for the cell shown
1.0
-3.401 1.940 2.981
-0.422 -1.614 4.630
1.368 2.885 3.746
Y Ge Tm Rh
1 1 1 1
Cartesian
-0.614 0.803 2.839
0.000 0.000 0.000
-1.842 2.408 8.518
-1.228 1.605 5.678


3.
La2TlN | Alexandria | PBE | relaxed; calculated total energy = -22.7 eV for the cell shown; formation energy without anion corrections = -2.14 eV/f.u.
1.0
3.263 0.000 0.000
0.000 3.263 0.000
0.000 0.000 8.431
Tl N La
1 1 2
Cartesian
1.631 1.631 4.216
1.631 1.631 0.000
0.000 0.000 6.926
0.000 0.000 1.505


4.
Al2ZnSe | Alexandria | PBE | relaxed; ΔE to the lowest computed polymorph = 73 meV/atom; calculated total energy = -12.4 eV for the cell shown; formation energy without anion corrections = -0.20 eV/f.u.
1.0
5.759 -0.316 -0.560
4.876 3.079 -0.560
1.773 0.461 3.810
Zn Al Se
1 2 1
Cartesian
2.832 0.736 0.091
10.793 2.805 -0.635
9.026 2.345 1.473
6.595 1.714 1.985


Magnetization (μB/f.u.)
0.0 0.0 0.0 0.0